A plane-wave DFT calculation with SCAN was carried out for a PBEsol-optimized structure of TaBe2Rh2.

Structure (POSCAR):
```
TaBe2Rh2
1.0
6.604 0.000 0.000
0.000 6.604 0.000
0.000 0.000 2.746
Ta Be Rh
2 4 4
direct
0.000 0.000 0.000
0.500 0.500 0.000
0.116 0.384 0.000
0.384 0.884 0.000
0.616 0.116 0.000
0.884 0.616 0.000
0.176 0.676 0.500
0.324 0.176 0.500
0.676 0.824 0.500
0.824 0.324 0.500
```

N(E_F)   0.67 states/eV per atom
Size of the total moment   0.000 μB/f.u.
DFT formation energy   -0.6295 eV per atom

---

A plane-wave DFT calculation with SCAN was carried out for a PBEsol-optimized structure of Ta2BeRh.

Structure (POSCAR):
```
Ta2BeRh
1.0
3.408 0.000 0.000
0.000 4.174 0.000
0.000 0.000 8.155
Ta Be Rh
4 2 2
direct
0.000 0.000 0.249
0.000 0.000 0.751
0.500 0.500 0.251
0.500 0.500 0.749
0.000 0.500 0.500
0.500 0.000 0.000
0.000 0.500 0.000
0.500 0.000 0.500
```

N(E_F)   0.53 states/eV per atom
Size of the total moment   0.000 μB/f.u.
DFT formation energy   -0.2032 eV per atom

---

A plane-wave DFT calculation with SCAN was carried out for a PBEsol-optimized structure of TaBeRh2.

Structure (POSCAR):
```
TaBeRh2
1.0
2.849 0.000 0.000
0.000 2.849 0.000
0.000 0.000 6.370
Ta Be Rh
1 1 2
direct
0.000 0.000 0.000
0.000 0.000 0.500
0.500 0.500 0.287
0.500 0.500 0.713
```

N(E_F)   0.58 states/eV per atom
Size of the total moment   0.000 μB/f.u.
DFT formation energy   -0.6846 eV per atom

---

A plane-wave DFT calculation with SCAN was carried out for a PBEsol-optimized structure of TaBe2Rh.

Structure (POSCAR):
```
TaBe2Rh
1.0
3.635 0.000 0.000
0.000 2.850 0.000
0.000 0.000 8.949
Ta Be Rh
2 4 2
direct
0.000 0.000 0.000
0.000 0.500 0.500
0.000 0.000 0.272
0.000 0.500 0.772
0.500 0.000 0.395
0.500 0.500 0.895
0.500 0.000 0.684
0.500 0.500 0.184
```

N(E_F)   0.36 states/eV per atom
Size of the total moment   0.000 μB/f.u.
DFT formation energy   -0.4238 eV per atom

---

A plane-wave DFT calculation with SCAN was carried out for a PBEsol-optimized structure of TaBeRh2.

Structure (POSCAR):
```
TaBeRh2
1.0
2.861 0.000 0.000
0.000 3.263 0.000
0.000 0.000 5.713
Ta Be Rh
1 1 2
direct
0.000 0.000 0.000
0.000 0.000 0.500
0.500 0.500 0.272
0.500 0.500 0.728
```

N(E_F)   0.44 states/eV per atom
Size of the total moment   0.000 μB/f.u.
DFT formation energy   -0.6379 eV per atom

---

A plane-wave DFT calculation with SCAN was carried out for a PBEsol-optimized structure of TaBeRh2.

Structure (POSCAR):
```
TaBeRh2
1.0
3.983 0.000 0.000
0.000 3.983 0.000
0.000 0.000 6.775
Ta Be Rh
2 2 4
direct
0.000 0.000 0.000
0.500 0.500 0.500
0.000 0.000 0.500
0.500 0.500 0.000
0.000 0.500 0.250
0.000 0.500 0.750
0.500 0.000 0.250
0.500 0.000 0.750
```

N(E_F)   0.25 states/eV per atom
Size of the total moment   0.000 μB/f.u.
DFT formation energy   -0.6960 eV per atom

---

A plane-wave DFT calculation with SCAN was carried out for a PBEsol-optimized structure of TaBe2RhW.

Structure (POSCAR):
```
TaBe2RhW
1.0
4.290 0.000 0.000
0.000 4.290 0.000
0.000 0.000 4.632
Ta Be Rh W
1 2 1 1
direct
0.000 0.000 0.000
0.000 0.500 0.000
0.500 0.000 0.000
0.500 0.500 0.500
0.000 0.000 0.500
```

N(E_F)   0.62 states/eV per atom
Size of the total moment   0.000 μB/f.u.
DFT formation energy   1.9116 eV per atom

---

A plane-wave DFT calculation with SCAN was carried out for a PBEsol-optimized structure of BeTcRh2.

Structure (POSCAR):
```
BeTcRh2
1.0
2.678 0.000 0.000
-1.339 2.319 0.000
0.000 0.000 23.868
Be Tc Rh
3 3 6
direct
0.000 0.000 0.000
0.333 0.667 0.667
0.667 0.333 0.333
0.000 0.000 0.500
0.333 0.667 0.167
0.667 0.333 0.833
0.000 0.000 0.258
0.000 0.000 0.742
0.333 0.667 0.409
0.333 0.667 0.925
0.667 0.333 0.075
0.667 0.333 0.591
```

N(E_F)   0.78 states/eV per atom
Size of the total moment   0.000 μB/f.u.
DFT formation energy   -0.2161 eV per atom

---

A plane-wave DFT calculation with SCAN was carried out for a PBEsol-optimized structure of BeTc2Rh.

Structure (POSCAR):
```
BeTc2Rh
1.0
2.767 0.000 0.000
0.000 4.285 0.000
0.000 0.000 8.266
Be Tc Rh
2 4 2
direct
0.000 0.000 0.000
0.500 0.500 0.500
0.000 0.000 0.493
0.000 0.500 0.273
0.500 0.000 0.773
0.500 0.500 0.993
0.000 0.500 0.715
0.500 0.000 0.215
```

N(E_F)   0.71 states/eV per atom
Size of the total moment   0.000 μB/f.u.
DFT formation energy   -0.1557 eV per atom

---

A plane-wave DFT calculation with SCAN was carried out for a PBEsol-optimized structure of BeTcRh2.

Structure (POSCAR):
```
BeTcRh2
1.0
2.752 0.000 0.000
0.000 4.273 0.000
0.000 0.000 8.219
Be Tc Rh
2 2 4
direct
0.000 0.000 0.000
0.500 0.500 0.500
0.000 0.000 0.500
0.500 0.500 0.000
0.000 0.500 0.280
0.000 0.500 0.720
0.500 0.000 0.220
0.500 0.000 0.780
```

N(E_F)   0.64 states/eV per atom
Size of the total moment   0.000 μB/f.u.
DFT formation energy   -0.2524 eV per atom

---

A plane-wave DFT calculation with SCAN was carried out for a PBEsol-optimized structure of BeTcRh2.

Structure (POSCAR):
```
BeTcRh2
1.0
2.710 0.000 0.000
0.000 2.710 0.000
0.000 0.000 6.524
Be Tc Rh
1 1 2
direct
0.000 0.000 0.000
0.000 0.000 0.500
0.500 0.500 0.217
0.500 0.500 0.783
```

N(E_F)   0.58 states/eV per atom
Size of the total moment   0.204 μB/f.u.
DFT formation energy   -0.4567 eV per atom

---

A plane-wave DFT calculation with SCAN was carried out for a PBEsol-optimized structure of BeTe2Rh.

Structure (POSCAR):
```
BeTe2Rh
1.0
4.339 0.000 0.000
0.000 5.037 0.000
0.000 0.000 7.092
Be Te Rh
2 4 2
direct
0.000 0.000 0.000
0.000 0.500 0.500
0.000 0.000 0.636
0.000 0.500 0.136
0.500 0.000 0.217
0.500 0.500 0.717
0.500 0.000 0.844
0.500 0.500 0.344
```

N(E_F)   0.42 states/eV per atom
Energy   -28.3682 eV per atom
Size of the total moment   0.000 μB/f.u.

---

Which value of N(E_F) does entry 6 give?
0.25 states/eV per atom